A plane-wave DFT calculation with PBE was carried out for an optimized crystal structure of YCuRu2.

Results
**ΔE_f**: 103 meV per atom
**Calculated total energy**: -28.70 eV per cell
**Space group**: P4/mmm

Cell and atoms, written as POSCAR:
```
YCuRu2
1.0
3.966 0.000 0.000
0.000 3.964 0.000
0.000 0.000 4.170
Cu Ru Y
1 2 1
direct
0.000 0.500 0.500 Cu
0.000 0.000 0.000 Ru
0.500 0.500 0.000 Ru
0.500 0.000 0.500 Y
```

---

A plane-wave DFT calculation with PBE was carried out for an optimized crystal structure of YCu2Ru.

Results
**ΔE_f**: 12 meV per atom
**Calculated total energy**: -23.89 eV per cell
**Space group**: Fm-3m

Cell and atoms, written as POSCAR:
```
YCu2Ru
1.0
0.000 3.194 3.194
3.194 0.000 3.194
3.194 3.194 0.000
Ru Cu Y
1 2 1
direct
0.500 0.500 0.500 Ru
0.250 0.250 0.250 Cu
0.750 0.750 0.750 Cu
0.000 0.000 0.000 Y
```

---

A plane-wave DFT calculation with PBE was carried out for an optimized crystal structure of Y6CuRu5.

Results
**ΔE_f**: -309 meV per atom
**Calculated total energy**: -92.97 eV per cell
**Space group**: Cmmm

Cell and atoms, written as POSCAR:
```
Y6CuRu5
1.0
4.609 -0.028 1.536
0.037 6.847 0.012
0.016 -0.014 7.637
Y Cu Ru
6 1 5
direct
0.500 0.255 0.000 Y
0.831 0.748 0.338 Y
0.169 0.748 0.662 Y
0.831 0.252 0.338 Y
0.500 0.745 0.000 Y
0.169 0.252 0.662 Y
0.000 0.000 0.000 Cu
0.665 0.000 0.670 Ru
0.000 0.500 0.000 Ru
0.335 0.000 0.330 Ru
0.334 0.500 0.332 Ru
0.666 0.500 0.668 Ru
```

---

A plane-wave DFT calculation with PBE was carried out for an optimized crystal structure of Y2CuRu.

Results
**ΔE_f**: -42 meV per atom
**Calculated total energy**: -26.47 eV per cell
**Space group**: I-4m2

Cell and atoms, written as POSCAR:
```
Y2CuRu
1.0
5.648 0.007 0.000
2.636 4.995 0.000
-4.142 -2.501 2.914
Y Cu Ru
2 1 1
direct
0.250 0.750 0.500 Y
0.000 0.000 0.000 Y
0.500 0.500 0.000 Cu
0.750 0.250 0.500 Ru
```

---

A plane-wave DFT calculation with PBE was carried out for an optimized crystal structure of YCuRu.

Results
**ΔE_f**: -168 meV per atom
**Calculated total energy**: -81.36 eV per cell
**Space group**: Cm

Cell and atoms, written as POSCAR:
```
YCuRu
1.0
5.611 0.000 0.005
0.000 4.246 0.000
-2.960 0.000 9.884
Cu Ru Y
4 4 4
direct
0.763 0.500 0.224 Cu
0.917 0.500 0.839 Cu
0.763 0.000 0.724 Cu
0.917 0.000 0.339 Cu
0.319 0.000 0.543 Ru
0.490 0.000 0.142 Ru
0.319 0.500 0.043 Ru
0.490 0.500 0.642 Ru
0.311 0.000 0.824 Y
0.925 0.000 0.046 Y
0.311 0.500 0.324 Y
0.925 0.500 0.546 Y
```

---

A plane-wave DFT calculation with PBE was carried out for an optimized crystal structure of YCuRu2.

Results
**ΔE_f**: 147 meV per atom
**Calculated total energy**: -28.52 eV per cell
**Space group**: C2/m

Cell and atoms, written as POSCAR:
```
YCuRu2
1.0
4.825 -0.003 0.010
3.838 2.924 0.010
1.160 0.391 4.766
Ru Y Cu
2 1 1
direct
0.017 0.017 0.948 Ru
0.483 0.483 0.552 Ru
0.250 0.250 0.250 Y
0.750 0.750 0.750 Cu
```

---

A plane-wave DFT calculation with PBE was carried out for an optimized crystal structure of Y2CuRu.

Results
**ΔE_f**: 539 meV per atom
**Calculated total energy**: -48.29 eV per cell
**Space group**: I-42d

Cell and atoms, written as POSCAR:
```
Y2CuRu
1.0
-1.189 -3.518 2.745
3.617 0.904 2.725
-3.781 4.141 7.555
Y Ru Cu
4 2 2
direct
0.875 0.885 0.750 Y
0.115 0.625 0.250 Y
0.635 0.125 0.250 Y
0.375 0.365 0.750 Y
0.000 0.000 0.000 Ru
0.750 0.250 0.500 Ru
0.250 0.750 0.500 Cu
0.500 0.500 0.000 Cu
```

---

A plane-wave DFT calculation with PBE was carried out for an optimized crystal structure of YCuRu2.

Results
**ΔE_f**: 299 meV per atom
**Calculated total energy**: -55.83 eV per cell
**Space group**: I-42d

Cell and atoms, written as POSCAR:
```
YCuRu2
1.0
4.078 0.000 0.000
0.000 4.078 0.000
2.039 2.039 9.163
Ru Cu Y
4 2 2
direct
0.223 0.625 0.250 Ru
0.375 0.473 0.750 Ru
0.527 0.125 0.250 Ru
0.875 0.777 0.750 Ru
0.250 0.750 0.500 Cu
0.500 0.500 0.000 Cu
0.750 0.250 0.500 Y
0.000 0.000 0.000 Y
```

---

A plane-wave DFT calculation with PBE was carried out for an optimized crystal structure of Y2CuRu.

Results
**ΔE_f**: -117 meV per atom
**Calculated total energy**: -26.77 eV per cell
**Space group**: R3m

Cell and atoms, written as POSCAR:
```
Y2CuRu
1.0
-2.953 5.347 -3.429
-5.556 2.074 -3.728
-5.470 4.370 -0.221
Ru Y Cu
1 2 1
direct
0.792 0.792 0.792 Ru
0.037 0.037 0.037 Y
0.213 0.213 0.213 Y
0.458 0.458 0.458 Cu
```

---

A plane-wave DFT calculation with PBE was carried out for an optimized crystal structure of YCuRu.

Results
**ΔE_f**: -147 meV per atom
**Calculated total energy**: -40.55 eV per cell
**Space group**: P2_1/m

Cell and atoms, written as POSCAR:
```
YCuRu
1.0
5.168 0.000 -0.002
0.000 4.452 0.000
-2.287 0.000 4.802
Ru Cu Y
2 2 2
direct
0.383 0.250 0.456 Ru
0.617 0.750 0.544 Ru
0.042 0.750 0.393 Cu
0.958 0.250 0.607 Cu
0.246 0.750 0.964 Y
0.754 0.250 0.036 Y
```

---

A plane-wave DFT calculation with PBE was carried out for an optimized crystal structure of YCuRu.

Results
**ΔE_f**: -199 meV per atom
**Calculated total energy**: -81.73 eV per cell
**Space group**: Ima2

Cell and atoms, written as POSCAR:
```
YCuRu
1.0
-1.384 -2.370 3.258
-0.628 -5.761 -4.457
6.890 -1.930 1.524
Y Cu Ru
4 4 4
direct
0.750 0.297 0.625 Y
0.750 0.203 0.125 Y
0.250 0.797 0.125 Y
0.250 0.703 0.625 Y
0.750 0.589 0.321 Cu
0.750 0.911 0.821 Cu
0.250 0.411 0.321 Cu
0.250 0.089 0.821 Cu
0.250 0.074 0.423 Ru
0.750 0.574 0.923 Ru
0.250 0.426 0.923 Ru
0.750 0.926 0.423 Ru
```

---

A plane-wave DFT calculation with PBE was carried out for an optimized crystal structure of Y5CuRu4.

Results
**ΔE_f**: -308 meV per atom
**Calculated total energy**: -76.60 eV per cell
**Space group**: P4/mmm

Cell and atoms, written as POSCAR:
```
Y5CuRu4
1.0
-3.404 -0.357 0.205
0.240 -0.333 3.404
-1.676 17.035 1.785
Cu Ru Y
1 4 5
direct
0.000 0.000 0.000 Cu
0.000 0.000 0.401 Ru
0.000 0.000 0.801 Ru
0.000 0.000 0.599 Ru
0.000 0.000 0.199 Ru
0.500 0.500 0.107 Y
0.500 0.500 0.500 Y
0.500 0.500 0.893 Y
0.500 0.500 0.696 Y
0.500 0.500 0.304 Y
```